# Ge2MoPbO8, optimized geometry, DFT PBE with a Hubbard U
data_Ge2MoPbO8
_cell_length_a 8.9824
_cell_length_b 8.9824
_cell_length_c 8.9824
_cell_angle_alpha 31.04
_cell_angle_beta 31.04
_cell_angle_gamma 31.04
_symmetry_space_group_name_H-M 'P 1'
_symmetry_Int_Tables_number 1
loop_
_symmetry_equiv_pos_as_xyz
'x,y,z'
loop_
_atom_site_label
_atom_site_fract_x
_atom_site_fract_y
_atom_site_fract_z
_atom_site_occupancy
Ge1 0.2399 0.2399 0.2399 1
Ge2 0.7601 0.7601 0.7601 1
Mo1 0.5000 0.5000 0.5000 1
Pb1 0.0000 0.0000 0.0000 1
O1 0.1430 0.4472 0.7629 1
O2 0.2371 0.5528 0.8570 1
O3 0.3072 0.3072 0.3072 1
O4 0.4472 0.7629 0.1430 1
O5 0.5528 0.8570 0.2371 1
O6 0.6928 0.6928 0.6928 1
O7 0.7629 0.1430 0.4472 1
O8 0.8570 0.2371 0.5528 1
# Final energy, eV/atom: -6.289
# Volume, Å³/atom: 14.25
# Crystal system: trigonal